The following is a DFT calculation (PBE) of an optimized crystal structure of Pm2SmDy4Ho2.

Unit cell a=6.821 b=9.893 c=6.635 alpha=121.31 beta=126.91 gamma=59.25
Positions (direct):
Pm1 0.271 0.658 0.602
Pm2 0.729 0.342 0.398
Sm1 0.000 0.000 0.000
Dy1 0.738 0.886 0.203
Dy2 0.621 0.758 0.508
Dy3 0.262 0.114 0.797
Dy4 0.379 0.242 0.492
Ho1 0.821 0.444 0.035
Ho2 0.179 0.556 0.965

Summary:
Total DFT energy (no corrections): -41.05 eV/f.u.
M_tot: 0.000 μB per atom
Crystal system: triclinic



The following is a DFT calculation (PBE) of an optimized crystal structure of CsRb2SCl.

Unit cell a=6.289 b=6.289 c=6.684 alpha=90.00 beta=90.00 gamma=90.00
Positions (direct):
Cs1 0.000 0.000 0.500
S1 0.000 0.000 0.000
Rb1 0.000 0.500 0.000
Rb2 0.500 0.000 0.000
Cl1 0.500 0.500 0.500

Summary:
Total DFT energy (no corrections): -14.73 eV/f.u.
M_tot: 0.000 μB per atom
Crystal system: tetragonal



The following is a DFT calculation (PBE) of an optimized crystal structure of Y3ErTm6.

Unit cell a=8.801 b=8.964 c=8.964 alpha=117.81 beta=90.00 gamma=90.00
Positions (direct):
Y1 0.423 0.973 0.676
Y2 0.923 0.676 0.973
Y3 0.411 0.550 0.450
Y4 0.911 0.450 0.550
Y5 0.923 0.027 0.324
Y6 0.423 0.324 0.027
Er1 0.033 0.220 0.780
Er2 0.533 0.780 0.220
Tm1 0.098 0.812 0.699
Tm2 0.598 0.699 0.812
Tm3 0.275 0.530 0.824
Tm4 0.775 0.824 0.530
Tm5 0.287 0.946 0.054
Tm6 0.663 0.284 0.716
Tm7 0.163 0.716 0.284
Tm8 0.787 0.054 0.946
Tm9 0.275 0.176 0.470
Tm10 0.775 0.470 0.176
Tm11 0.098 0.301 0.188
Tm12 0.598 0.188 0.301

Summary:
Total DFT energy (no corrections): -49.43 eV/f.u.
M_tot: 0.000 μB per atom
Excess energy over the best structure of this formula in the dataset: 0 meV/atom
Crystal system: orthorhombic



The following is a DFT calculation (PBE) of an optimized crystal structure of CePa2Ru.

Unit cell a=3.556 b=3.556 c=7.315 alpha=90.00 beta=90.00 gamma=90.00
Positions (direct):
Ru1 0.500 0.500 0.000
Pa1 0.000 0.000 0.795
Pa2 0.000 0.000 0.205
Ce1 0.500 0.500 0.500

Summary:
Total DFT energy (no corrections): -34.79 eV/f.u.
M_tot: 0.000 μB per atom
Excess energy over the best structure of this formula in the dataset: 0 meV/atom
Crystal system: tetragonal



The following is a DFT calculation (PBE) of an optimized crystal structure of PuUTl2S4.

Unit cell a=4.058 b=7.051 c=7.868 alpha=107.24 beta=90.00 gamma=90.00
Site moments in Bohr magnetons follow the coordinates.
Positions (direct):
Pu1 0.000 0.000 0.000  5.24
U1 0.500 0.500 0.000  2.41
Tl1 0.500 0.000 0.500  0.02
Tl2 0.000 0.500 0.500  0.01
S1 0.500 0.239 0.194  -0.08
S2 0.500 0.761 0.806  -0.08
S3 0.000 0.275 0.806  -0.07
S4 0.000 0.725 0.194  -0.07

Summary:
Total DFT energy (no corrections): -55.97 eV/f.u.
M_tot: 1.000 μB per atom
Crystal system: monoclinic



The following is a DFT calculation (PBE) of an optimized crystal structure of Mg2TaTe.

Unit cell a=5.726 b=5.726 c=5.726 alpha=138.29 beta=138.29 gamma=60.47
Positions (direct):
Mg1 0.000 0.000 0.000
Mg2 0.500 0.500 0.000
Ta1 0.250 0.750 0.500
Te1 0.750 0.250 0.500

Summary:
Total DFT energy (no corrections): -17.15 eV/f.u.
M_tot: 0.000 μB per atom
Crystal system: tetragonal



The following is a DFT calculation (PBE) of an optimized crystal structure of TlIn2CuN.

Unit cell a=5.719 b=3.487 c=5.719 alpha=90.00 beta=90.00 gamma=90.00
Positions (direct):
Tl1 0.500 0.500 0.500
N1 0.000 0.500 0.000
Cu1 0.000 0.000 0.000
In1 0.000 0.000 0.500
In2 0.500 0.000 0.000

Summary:
Total DFT energy (no corrections): -17.98 eV/f.u.
M_tot: 0.000 μB per atom
Crystal system: tetragonal



The following is a DFT calculation (PBE) of an optimized crystal structure of Li2AgMo.

Unit cell a=5.601 b=5.601 c=5.601 alpha=152.58 beta=126.75 gamma=60.93
Positions (direct):
Ag1 0.250 0.750 0.500
Li1 0.009 0.009 0.000
Li2 0.491 0.491 0.000
Mo1 0.750 0.250 0.500

Summary:
Total DFT energy (no corrections): -15.94 eV/f.u.
M_tot: 0.000 μB per atom
Excess energy over the best structure of this formula in the dataset: 218 meV/atom
Crystal system: orthorhombic



The following is a DFT calculation (PBE) of an optimized crystal structure of Ho5Er2Ru5.

Unit cell a=4.814 b=4.814 c=13.362 alpha=79.68 beta=79.68 gamma=59.99
Positions (direct):
Ho1 0.500 0.500 0.500
Ho2 0.310 0.310 0.071
Ho3 0.216 0.216 0.353
Ho4 0.784 0.784 0.647
Ho5 0.690 0.690 0.929
Er1 0.072 0.072 0.784
Er2 0.928 0.928 0.216
Ru1 0.855 0.855 0.435
Ru2 0.385 0.385 0.844
Ru3 0.615 0.615 0.156
Ru4 0.145 0.145 0.565
Ru5 0.000 0.000 0.000

Summary:
Total DFT energy (no corrections): -81.44 eV/f.u.
M_tot: 0.000 μB per atom
Crystal system: monoclinic



The following is a DFT calculation (PBE) of an optimized crystal structure of KTaTl2.

Unit cell a=6.112 b=6.112 c=5.553 alpha=87.10 beta=87.10 gamma=29.58
Positions (direct):
K1 0.503 0.503 0.615
Ta1 0.254 0.254 0.131
Tl1 0.987 0.987 0.119
Tl2 0.756 0.756 0.635

Summary:
Total DFT energy (no corrections): -15.03 eV/f.u.
M_tot: 0.000 μB per atom
Excess energy over the best structure of this formula in the dataset: 243 meV/atom
Crystal system: monoclinic



The following is a DFT calculation (PBE) of an optimized crystal structure of TbNd9Pb2.

Unit cell a=5.013 b=5.013 c=15.467 alpha=90.00 beta=90.00 gamma=90.00
Positions (direct):
Tb1 0.000 0.000 0.000
Nd1 0.500 0.500 0.000
Nd2 0.500 0.500 0.338
Nd3 0.500 0.500 0.662
Nd4 0.500 0.000 0.173
Nd5 0.500 0.000 0.500
Nd6 0.500 0.000 0.827
Nd7 0.000 0.500 0.173
Nd8 0.000 0.500 0.500
Nd9 0.000 0.500 0.827
Pb1 0.000 0.000 0.337
Pb2 0.000 0.000 0.663

Summary:
Total DFT energy (no corrections): -57.46 eV/f.u.
M_tot: 0.000 μB per atom
Crystal system: tetragonal



The following is a DFT calculation (PBE) of an optimized crystal structure of AlSi5C2O12.

Unit cell a=7.685 b=7.685 c=7.946 alpha=69.99 beta=69.99 gamma=107.87
Site moments in Bohr magnetons follow the coordinates.
Positions (direct):
Al1 0.212 0.788 0.500  -0.01
Si1 0.464 0.741 0.756  0.00
Si2 0.522 0.290 0.239  0.00
Si3 0.259 0.536 0.244  0.00
Si4 0.710 0.478 0.761  0.00
Si5 0.761 0.239 0.500  0.00
C1 0.067 0.812 0.979  0.59
C2 0.188 0.933 0.021  0.59
O1 0.658 0.983 0.628  0.02
O2 0.679 0.310 0.336  0.04
O3 0.325 0.059 0.368  0.12
O4 0.304 0.718 0.669  0.14
O5 0.017 0.342 0.372  0.02
O6 0.690 0.321 0.664  0.04
O7 0.941 0.675 0.632  0.12
O8 0.282 0.696 0.331  0.14
O9 0.432 0.456 0.244  0.04
O10 0.544 0.568 0.756  0.04
O11 0.326 0.674 0.000  0.18
O12 0.654 0.346 0.000  0.06

Summary:
Total DFT energy (no corrections): -148.15 eV/f.u.
M_tot: 0.156 μB per atom
Crystal system: monoclinic



> Which of these has the highest M_tot?

PuUTl2S4